Entry 1:
Below is a relaxed Y2MgH crystal, with properties calculated at the PBE level.

Cell and atoms, written as POSCAR:
```
Y2MgH
1.0
-4.254 -2.095 -1.934
-4.160 2.889 -0.759
-1.483 1.152 -4.765
Y Mg H
2 1 1
Direct
0.250 0.250 0.250 Y
0.750 0.750 0.750 Y
0.500 0.500 0.500 Mg
0.000 0.000 0.000 H
```

Properties
M_tot = 0.00 μB per atom
energy = -16.47 eV per cell
space group = Fm-3m (225)
distance to the lowest polymorph of the same formula = 0.531 eV/atom

Entry 2:
Below is a relaxed K2RbOs3O12 crystal, with properties calculated at the PBE level.

Cell and atoms, written as POSCAR:
```
K2RbOs3O12
1.0
-7.244 1.289 0.089
-4.108 -2.256 5.673
-2.848 4.889 4.704
O Os K Rb
12 3 2 1
Direct
0.486 0.865 0.865 O
0.728 0.728 0.113 O
0.272 0.272 0.887 O
0.135 0.135 0.514 O
0.272 0.887 0.272 O
0.113 0.728 0.728 O
0.887 0.272 0.272 O
0.865 0.865 0.486 O
0.514 0.135 0.135 O
0.865 0.486 0.865 O
0.728 0.113 0.728 O
0.135 0.514 0.135 O
0.500 0.000 0.000 Os
0.000 0.500 0.000 Os
0.000 0.000 0.500 Os
0.612 0.612 0.612 K
0.388 0.388 0.388 K
0.000 0.000 0.000 Rb
```

Properties
M_tot = 0.00 μB per atom
energy = -118.29 eV per cell
space group = R-3m (166)

Entry 3:
Below is a relaxed Pu3Co3Sb4 crystal, with properties calculated at the PBE level.

Cell and atoms, written as POSCAR:
```
Pu3Co3Sb4
1.0
-4.050 -3.901 -5.928
7.542 1.795 -2.580
0.449 -4.793 6.602
Sb Pu Co
8 6 6
Direct
0.500 0.343 0.500 Sb
0.343 0.500 0.000 Sb
0.157 0.657 0.657 Sb
0.500 0.843 0.500 Sb
0.657 0.157 0.157 Sb
0.000 0.000 0.343 Sb
0.843 0.500 0.000 Sb
0.000 0.000 0.843 Sb
0.750 0.625 0.375 Pu
0.875 0.250 0.625 Pu
0.375 0.125 0.750 Pu
0.250 0.875 0.125 Pu
0.125 0.375 0.250 Pu
0.625 0.750 0.875 Pu
0.625 0.875 0.250 Co
0.750 0.125 0.875 Co
0.875 0.625 0.750 Co
0.125 0.750 0.375 Co
0.250 0.375 0.625 Co
0.375 0.250 0.125 Co
```

Properties
M_tot = 1.13 μB per atom
energy = -170.24 eV per cell
space group = I-43d (220)